(1)
Compound: GaTcN3
Source: Alexandria via LeMat-Bulk
Functional: PBE
Structure: optimized geometry

```
data_GaTcN3
_space_group_name_H-M_alt 'P 1'
_space_group_IT_number 1
_cell_length_a 3.9067
_cell_length_b 3.9067
_cell_length_c 3.9067
_cell_angle_alpha 90.00
_cell_angle_beta 90.00
_cell_angle_gamma 90.00
loop_
_space_group_symop_operation_xyz
'x,y,z'
loop_
_atom_site_label
_atom_site_fract_x
_atom_site_fract_y
_atom_site_fract_z
Tc1 0.0000 0.0000 0.0000
Ga1 0.5000 0.5000 0.5000
N1 0.0000 0.5000 0.0000
N2 0.0000 0.0000 0.5000
N3 0.5000 0.0000 0.0000
```

Calculated values
The calculation puts the formation energy (no corrections) at 0.8619 eV/atom. Its symmetry is Pm-3m (221). As for the final energy: -6.81 eV per atom.

***

(2)
Compound: GaTc3N
Source: Alexandria via LeMat-Bulk
Functional: PBE
Structure: optimized geometry

```
data_GaTc3N
_space_group_name_H-M_alt 'P 1'
_space_group_IT_number 1
_cell_length_a 4.0522
_cell_length_b 4.0522
_cell_length_c 4.0522
_cell_angle_alpha 90.00
_cell_angle_beta 90.00
_cell_angle_gamma 90.00
loop_
_space_group_symop_operation_xyz
'x,y,z'
loop_
_atom_site_label
_atom_site_fract_x
_atom_site_fract_y
_atom_site_fract_z
Tc1 0.0000 0.5000 0.0000
Tc2 0.0000 0.0000 0.5000
Tc3 0.5000 0.0000 0.0000
Ga1 0.5000 0.5000 0.5000
N1 0.0000 0.0000 0.0000
```

Calculated values
The calculation puts the formation energy (no corrections) at -0.0149 eV/atom. Its symmetry is Pm-3m (221). As for the final energy: -8.50 eV per atom.

***

(3)
Compound: GaTc2N2
Source: Alexandria via LeMat-Bulk
Functional: PBE
Structure: optimized geometry

```
data_GaTc2N2
_space_group_name_H-M_alt 'P 1'
_space_group_IT_number 1
_cell_length_a 3.8740
_cell_length_b 3.8740
_cell_length_c 5.1191
_cell_angle_alpha 67.77
_cell_angle_beta 67.77
_cell_angle_gamma 90.00
loop_
_space_group_symop_operation_xyz
'x,y,z'
loop_
_atom_site_label
_atom_site_fract_x
_atom_site_fract_y
_atom_site_fract_z
Tc1 0.7500 0.2500 0.5000
Tc2 0.2500 0.7500 0.5000
Ga1 0.0000 0.0000 0.0000
N1 0.3345 0.3345 0.3310
N2 0.6655 0.6655 0.6690
```

Calculated values
The calculation puts the formation energy (no corrections) at 0.4093 eV/atom. Its symmetry is I4/mmm (139). As for the final energy: -7.67 eV per atom.

***

(4)
Compound: GaTc2N
Source: Alexandria via LeMat-Bulk
Functional: PBE
Structure: optimized geometry

```
data_GaTc2N
_space_group_name_H-M_alt 'P 1'
_space_group_IT_number 1
_cell_length_a 4.1390
_cell_length_b 4.1390
_cell_length_c 4.1390
_cell_angle_alpha 60.00
_cell_angle_beta 60.00
_cell_angle_gamma 60.00
loop_
_space_group_symop_operation_xyz
'x,y,z'
loop_
_atom_site_label
_atom_site_fract_x
_atom_site_fract_y
_atom_site_fract_z
Tc1 0.2500 0.2500 0.2500
Tc2 0.7500 0.7500 0.7500
Ga1 0.5000 0.5000 0.5000
N1 0.0000 0.0000 0.0000
```

Calculated values
The calculation puts the formation energy (no corrections) at 0.9397 eV/atom. Its symmetry is Fm-3m (225). As for the final energy: -7.08 eV per atom.

***

(5)
Compound: Ga2TcN2
Source: Alexandria via LeMat-Bulk
Functional: PBE
Structure: optimized geometry

```
data_Ga2TcN2
_space_group_name_H-M_alt 'P 1'
_space_group_IT_number 1
_cell_length_a 3.8819
_cell_length_b 3.8819
_cell_length_c 4.8993
_cell_angle_alpha 66.66
_cell_angle_beta 66.66
_cell_angle_gamma 90.00
loop_
_space_group_symop_operation_xyz
'x,y,z'
loop_
_atom_site_label
_atom_site_fract_x
_atom_site_fract_y
_atom_site_fract_z
Tc1 0.0000 0.0000 0.0000
Ga1 0.3407 0.3407 0.3187
Ga2 0.6593 0.6593 0.6813
N1 0.7500 0.2500 0.5000
N2 0.2500 0.7500 0.5000
```

Calculated values
The calculation puts the formation energy (no corrections) at 0.9818 eV/atom. Its symmetry is I4/mmm (139). As for the final energy: -5.63 eV per atom.

***

(6)
Compound: GaTcN
Source: Alexandria via LeMat-Bulk
Functional: PBE
Structure: optimized geometry

```
data_GaTcN
_space_group_name_H-M_alt 'P 1'
_space_group_IT_number 1
_cell_length_a 2.9145
_cell_length_b 2.9145
_cell_length_c 5.1121
_cell_angle_alpha 90.00
_cell_angle_beta 90.00
_cell_angle_gamma 120.00
loop_
_space_group_symop_operation_xyz
'x,y,z'
loop_
_atom_site_label
_atom_site_fract_x
_atom_site_fract_y
_atom_site_fract_z
Ga1 0.3333 0.6667 0.4349
Tc1 0.0000 0.0000 0.0409
N1 0.3333 0.6667 0.8096
```

Calculated values
The calculation puts the formation energy (no corrections) at -0.1993 eV/atom. Its symmetry is P3m1 (156). As for the final energy: -7.44 eV per atom.

***

Which formula does entry 5 have? Ga2TcN2

***

Repeat the fourth record exactly.
Compound: GaTc2N
Source: Alexandria via LeMat-Bulk
Functional: PBE
Structure: optimized geometry

```
data_GaTc2N
_space_group_name_H-M_alt 'P 1'
_space_group_IT_number 1
_cell_length_a 4.1390
_cell_length_b 4.1390
_cell_length_c 4.1390
_cell_angle_alpha 60.00
_cell_angle_beta 60.00
_cell_angle_gamma 60.00
loop_
_space_group_symop_operation_xyz
'x,y,z'
loop_
_atom_site_label
_atom_site_fract_x
_atom_site_fract_y
_atom_site_fract_z
Tc1 0.2500 0.2500 0.2500
Tc2 0.7500 0.7500 0.7500
Ga1 0.5000 0.5000 0.5000
N1 0.0000 0.0000 0.0000
```

Calculated values
The calculation puts the formation energy (no corrections) at 0.9397 eV/atom. Its symmetry is Fm-3m (225). As for the final energy: -7.08 eV per atom.

***

What is the formation energy (no corrections) in the third record? 0.4093 eV/atom